{
  "formula": "Cd4Pd7Pt",
  "functional": "PBE",
  "state": "relaxed",
  "lattice": [[5.038, 0.000, 0.000], [0.009, 5.674, 0.000], [2.292, 1.399, 7.015]],
  "species": ["Cd", "Cd", "Cd", "Cd", "Pd", "Pd", "Pd", "Pd", "Pd", "Pd", "Pd", "Pt"],
  "fractional_positions": [[0.175, 0.164, 0.327], [0.320, 0.572, 0.675], [0.680, 0.428, 0.325], [0.825, 0.836, 0.673], [0.005, 0.756, 0.001], [0.173, 0.667, 0.333], [0.331, 0.080, 0.667], [0.500, 0.500, 0.000], [0.669, 0.920, 0.333], [0.827, 0.333, 0.667], [0.995, 0.244, 0.999], [0.500, 0.000, 0.000]],
  "magnetic_moment_mub_per_atom": 0.00,
  "space_group": "P-1",
  "dos_ef_per_ev_cell": 6.24,
  "formation_enthalpy_0k_ev_per_fu": -3.4,
  "e_above_lowest_polymorph_mev_per_atom": 0,
  "rho_kg_m3": 11507
}


{
  "formula": "Ag2Sn2Cl",
  "functional": "PBE",
  "state": "relaxed",
  "lattice": [[-2.183, 2.183, 6.782], [2.183, -2.183, 6.782], [2.183, 2.183, -6.782]],
  "species": ["Ag", "Ag", "Sn", "Sn", "Cl"],
  "fractional_positions": [[0.105, 0.105, 0.000], [0.895, 0.895, 0.000], [0.250, 0.750, 0.500], [0.750, 0.250, 0.500], [0.500, 0.500, 0.000]],
  "magnetic_moment_mub_per_atom": 0.00,
  "space_group": "I4/mmm",
  "dos_ef_per_ev_cell": 1.85,
  "e_form_raw_ev_per_atom": 0.110,
  "e_above_lowest_polymorph_mev_per_atom": 191,
  "rho_kg_m3": 6275
}


{
  "formula": "SrHf3O",
  "functional": "PBE",
  "state": "relaxed",
  "lattice": [[5.150, 0.000, 0.000], [0.000, 5.150, 0.000], [0.000, 0.000, 5.150]],
  "species": ["Sr", "Hf", "Hf", "Hf", "O"],
  "fractional_positions": [[0.000, 0.000, 0.000], [0.000, 0.000, 0.500], [0.000, 0.500, 0.000], [0.500, 0.000, 0.000], [0.500, 0.500, 0.500]],
  "magnetic_moment_mub_per_atom": 0.00,
  "space_group": "Pm-3m",
  "dos_ef_per_ev_cell": 3.81,
  "e_form_raw_ev_per_atom": 2.518,
  "e_above_lowest_polymorph_mev_per_atom": 2988,
  "rho_kg_m3": 7770
}


{
  "formula": "Y2ZrTe",
  "functional": "PBE",
  "state": "relaxed",
  "lattice": [[5.792, -1.798, 0.000], [5.792, 1.798, 0.000], [-1.630, 0.000, 5.271]],
  "species": ["Y", "Y", "Zr", "Te"],
  "fractional_positions": [[0.000, 0.000, 0.000], [0.212, 0.212, 0.649], [0.449, 0.449, 0.466], [0.751, 0.751, 0.165]],
  "magnetic_moment_mub_per_atom": 0.00,
  "space_group": "Cm",
  "dos_ef_per_ev_cell": 3.28,
  "e_form_raw_ev_per_atom": -0.423,
  "rho_kg_m3": 5999
}